A plane-wave DFT calculation with PBE+U was carried out for crystalline Ni2Ge3O8 at its relaxed geometry.

Unit cell a=4.9657 b=5.6677 c=5.6677 alpha=61.22 beta=82.82 gamma=82.82
Positions (direct):
Ni  0.4327  0.7101  0.7101
Ni  0.5673  0.2899  0.2899
Ge  0.5000  0.0000  0.0000
Ge  0.0000  0.7405  0.2595
Ge  0.0000  0.2595  0.7405
O  0.8850  0.3938  0.3938
O  0.1150  0.6062  0.6062
O  0.8547  0.8999  0.8999
O  0.1453  0.1001  0.1001
O  0.6438  0.3430  0.8892
O  0.6438  0.8892  0.3430
O  0.3562  0.1108  0.6570
O  0.3562  0.6570  0.1108

Computed properties:
Calculated total energy in eV per atom: -5.95